Record 1
Compound: CaFe2Br
Source: Alexandria
Functional: PBE
Structure: optimized geometry

Unit cell a=3.345 b=3.346 c=7.903 alpha=90.00 beta=90.00 gamma=90.00
Site moments in Bohr magnetons follow the coordinates.
Element x y z (fractional)
Fe 0.500 0.500 0.142  2.90
Fe 0.000 0.000 0.041  2.62
Br 0.000 0.000 0.550  0.01
Ca 0.500 0.500 0.767  -0.05

Values from the calculation:
The total energy comes out at -5.1770 eV per atom. As for the relative energy among the computed polymorphs: 5 kJ/mol of formula units. For the uncorrected formation energy, the calculation gives -0.0271 eV per atom.

=====

Record 2
Compound: CaFe2Br
Source: Alexandria
Functional: PBE
Structure: optimized geometry

Unit cell a=5.528 b=3.328 c=4.621 alpha=91.74 beta=90.00 gamma=90.00
Site moments in Bohr magnetons follow the coordinates.
Element x y z (fractional)
Ca 0.500 0.750 0.750  -0.10
Fe 0.000 0.031 0.933  2.73
Fe 0.000 0.469 0.567  2.73
Br 0.500 0.250 0.250  0.01

Values from the calculation:
The total energy comes out at -4.9235 eV per atom. As for the relative energy among the computed polymorphs: 102 kJ/mol of formula units. For the uncorrected formation energy, the calculation gives 0.2265 eV per atom.

=====

Record 3
Compound: CaFeBr5
Source: Alexandria
Functional: PBE
Structure: optimized geometry

Unit cell a=7.600 b=7.600 c=10.646 alpha=111.05 beta=108.61 gamma=92.85
Site moments in Bohr magnetons follow the coordinates.
Element x y z (fractional)
Br 0.253 0.356 0.052  0.19
Br 0.731 0.679 0.330  0.19
Br 0.085 0.837 0.749  0.00
Br 0.267 0.323 0.669  0.19
Br 0.302 0.702 0.448  0.19
Br 0.347 0.903 0.169  0.19
Br 0.695 0.300 0.551  0.19
Br 0.914 0.165 0.249  0.00
Br 0.746 0.647 0.947  0.19
Br 0.652 0.100 0.830  0.19
Fe 0.599 0.352 0.749  3.66
Fe 0.399 0.651 0.250  3.66
Ca 0.999 0.501 0.499  0.02
Ca 0.999 0.001 0.999  0.02

Values from the calculation:
The total energy comes out at -3.7854 eV per atom. For the uncorrected formation energy, the calculation gives -1.0956 eV per atom.

=====

Record 4
Compound: CaFe2Br
Source: Alexandria
Functional: PBE
Structure: optimized geometry

Unit cell a=9.029 b=9.029 c=9.029 alpha=20.96 beta=20.96 gamma=20.96
Site moments in Bohr magnetons follow the coordinates.
Element x y z (fractional)
Br 0.250 0.250 0.250  0.12
Ca 0.750 0.750 0.750  -0.11
Fe 0.509 0.509 0.509  2.97
Fe 0.991 0.991 0.991  2.97

Values from the calculation:
The total energy comes out at -4.5067 eV per atom. As for the relative energy among the computed polymorphs: 263 kJ/mol of formula units. For the uncorrected formation energy, the calculation gives 0.6432 eV per atom.

=====

Record 5
Compound: CaFeBr3
Source: Alexandria
Functional: PBE
Structure: optimized geometry

Unit cell a=5.116 b=5.116 c=5.116 alpha=90.00 beta=90.00 gamma=90.00
Site moments in Bohr magnetons follow the coordinates.
Element x y z (fractional)
Fe 0.000 0.000 0.000  2.98
Br 0.000 0.000 0.500  0.04
Br 0.000 0.500 0.000  0.06
Br 0.500 0.000 0.000  0.06
Ca 0.500 0.500 0.500  -0.05

Values from the calculation:
The total energy comes out at -3.7736 eV per atom. For the uncorrected formation energy, the calculation gives -0.6770 eV per atom.

=====

Record 6
Compound: CaFe2Br
Source: Alexandria
Functional: PBE
Structure: optimized geometry

Unit cell a=6.405 b=6.405 c=3.442 alpha=74.45 beta=74.45 gamma=129.86
Site moments in Bohr magnetons follow the coordinates.
Element x y z (fractional)
Fe 0.500 0.500 0.000  2.94
Fe 0.000 0.000 0.000  2.94
Ca 0.000 0.500 0.500  -0.09
Br 0.500 0.000 0.500  0.04

Values from the calculation:
The total energy comes out at -4.8820 eV per atom. As for the relative energy among the computed polymorphs: 118 kJ/mol of formula units. For the uncorrected formation energy, the calculation gives 0.2679 eV per atom.

=====

Record 7
Compound: CaFe2Br8
Source: Alexandria
Functional: PBE
Structure: optimized geometry

Unit cell a=6.685 b=8.261 c=8.261 alpha=77.50 beta=84.48 gamma=84.48
Site moments in Bohr magnetons follow the coordinates.
Element x y z (fractional)
Br 0.237 0.925 0.290  0.18
Br 0.708 0.192 0.192  0.17
Br 0.763 0.075 0.710  0.18
Br 0.292 0.808 0.808  0.17
Br 0.218 0.371 0.371  0.29
Br 0.237 0.290 0.925  0.18
Br 0.763 0.710 0.075  0.18
Br 0.782 0.629 0.629  0.29
Fe 0.351 0.198 0.198  3.67
Fe 0.649 0.802 0.802  3.67
Ca 0.000 0.000 0.000  0.01

Values from the calculation:
The total energy comes out at -3.8334 eV per atom. For the uncorrected formation energy, the calculation gives -0.8961 eV per atom.

=====

Record 8
Compound: CaFe2Br
Source: Alexandria
Functional: PBE
Structure: optimized geometry

Unit cell a=4.748 b=4.748 c=4.748 alpha=60.00 beta=60.00 gamma=60.00
Site moments in Bohr magnetons follow the coordinates.
Element x y z (fractional)
Ca 0.000 0.000 0.000  -0.15
Br 0.500 0.500 0.500  0.05
Fe 0.750 0.750 0.750  2.65
Fe 0.250 0.250 0.250  2.65

Values from the calculation:
The total energy comes out at -4.2618 eV per atom. As for the relative energy among the computed polymorphs: 358 kJ/mol of formula units. For the uncorrected formation energy, the calculation gives 0.8881 eV per atom.

=====

Please write out number 1 again, unchanged.
Compound: CaFe2Br
Source: Alexandria
Functional: PBE
Structure: optimized geometry

Unit cell a=3.345 b=3.346 c=7.903 alpha=90.00 beta=90.00 gamma=90.00
Site moments in Bohr magnetons follow the coordinates.
Element x y z (fractional)
Fe 0.500 0.500 0.142  2.90
Fe 0.000 0.000 0.041  2.62
Br 0.000 0.000 0.550  0.01
Ca 0.500 0.500 0.767  -0.05

Values from the calculation:
The total energy comes out at -5.1770 eV per atom. As for the relative energy among the computed polymorphs: 5 kJ/mol of formula units. For the uncorrected formation energy, the calculation gives -0.0271 eV per atom.